Entry 1:
The following is a PBE calculation of Ta2BePb after structural relaxation, from the Alexandria database.

a b c (Å): 3.024 3.890 6.152
angles (deg): 90.00 98.17 90.00
Space group P2/m (No. 10)
Symmetry-distinct sites (fractional):
Ta (0.063, 0.000, 0.292) [2 per cell]
Be (0.500, 0.500, 0.500) [1 per cell]
Pb (0.500, 0.500, 0.000) [1 per cell]

N(E_F)	0.477	states/eV/atom
formation energy	1.926	eV per formula unit

---

Entry 2:
The following is a PBE calculation of Ta2BePb after structural relaxation, from the Alexandria database.

a b c (Å): 2.997 2.997 7.889
angles (deg): 90.00 90.00 90.00
Space group P4/mmm (No. 123)
Symmetry-distinct sites (fractional):
Ta (0.000, 0.000, 0.196) [2 per cell]
Be (0.500, 0.500, 0.000) [1 per cell]
Pb (0.500, 0.500, 0.500) [1 per cell]

N(E_F)	0.342	states/eV/atom
formation energy	1.584	eV per formula unit

---

Entry 3:
The following is a PBE calculation of Ta2BePb after structural relaxation, from the Alexandria database.

a b c (Å): 3.430 3.564 6.126
angles (deg): 90.00 106.19 90.00
Space group Pm (No. 6)
Symmetry-distinct sites (fractional):
Ta (0.000, 0.000, 0.000) [1 per cell]
Ta (0.379, 0.500, 0.749) [1 per cell]
Be (0.575, 0.500, 0.153) [1 per cell]
Pb (0.734, 0.000, 0.457) [1 per cell]

N(E_F)	0.365	states/eV/atom
formation energy	1.357	eV per formula unit

---

Entry 4:
The following is a PBE calculation of TaBe2Pb after structural relaxation, from the Alexandria database.

a b c (Å): 3.377 3.377 5.772
angles (deg): 90.00 90.00 90.00
Space group P4/mmm (No. 123)
Symmetry-distinct sites (fractional):
Ta (0.000, 0.000, 0.000) [1 per cell]
Be (0.500, 0.500, 0.174) [2 per cell]
Pb (0.000, 0.000, 0.500) [1 per cell]

N(E_F)	0.389	states/eV/atom
formation energy	1.736	eV per formula unit

---

Entry 5:
The following is a PBE calculation of TaBe2Pb after structural relaxation, from the Alexandria database.

a b c (Å): 9.150 3.017 5.086
angles (deg): 90.00 100.52 90.00
Space group C2/m (No. 12)
Symmetry-distinct sites (fractional):
Ta (0.000, 0.000, 0.000) [2 per cell]
Be (0.234, 0.500, 0.138) [4 per cell]
Pb (0.000, 0.500, 0.500) [2 per cell]

N(E_F)	0.297	states/eV/atom
formation energy	2.264	eV per formula unit

---

Entry 6:
The following is a PBE calculation of Ta2Be4Pb after structural relaxation, from the Alexandria database.

a b c (Å): 4.565 4.565 12.431
angles (deg): 90.00 90.00 90.00
Space group I4/mmm (No. 139)
Symmetry-distinct sites (fractional):
Ta (0.000, 0.000, 0.101) [4 per cell]
Be (0.000, 0.000, 0.301) [4 per cell]
Be (0.000, 0.500, 0.000) [4 per cell]
Pb (0.000, 0.000, 0.500) [2 per cell]

N(E_F)	0.633	states/eV/atom
formation energy	9.673	eV per formula unit

---

Entry 7:
The following is a PBE calculation of Ta2BePb after structural relaxation, from the Alexandria database.

a b c (Å): 5.674 8.681 2.935
angles (deg): 90.00 90.00 90.00
Space group Cmmm (No. 65)
Symmetry-distinct sites (fractional):
Ta (0.250, 0.250, 0.000) [4 per cell]
Be (0.000, 0.000, 0.500) [2 per cell]
Pb (0.000, 0.500, 0.500) [2 per cell]

N(E_F)	0.459	states/eV/atom
formation energy	2.438	eV per formula unit

---

Entry 8:
The following is a PBE calculation of Ta2BePb after structural relaxation, from the Alexandria database.

a b c (Å): 6.617 6.617 6.617
angles (deg): 90.00 90.00 90.00
Space group F-43m (No. 216)
Symmetry-distinct sites (fractional):
Ta (0.000, 0.000, 0.000) [4 per cell]
Ta (0.250, 0.250, 0.250) [4 per cell]
Be (0.000, 0.000, 0.500) [4 per cell]
Pb (0.250, 0.250, 0.750) [4 per cell]

N(E_F)	0.151	states/eV/atom
formation energy	3.132	eV per formula unit

---

Entry 9:
The following is a PBE calculation of Ta2BePb after structural relaxation, from the Alexandria database.

a b c (Å): 3.482 4.557 8.851
angles (deg): 90.00 90.00 90.00
Space group Immm (No. 71)
Symmetry-distinct sites (fractional):
Ta (0.000, 0.000, 0.234) [4 per cell]
Be (0.000, 0.500, 0.500) [2 per cell]
Pb (0.000, 0.500, 0.000) [2 per cell]

N(E_F)	0.532	states/eV/atom
formation energy	1.645	eV per formula unit

---

Entry 10:
The following is a PBE calculation of Ta2BePb after structural relaxation, from the Alexandria database.

a b c (Å): 3.873 4.610 7.903
angles (deg): 90.00 90.00 90.00
Space group Cmmm (No. 65)
Symmetry-distinct sites (fractional):
Ta (0.000, 0.000, 0.199) [4 per cell]
Be (0.000, 0.500, 0.000) [2 per cell]
Pb (0.000, 0.500, 0.500) [2 per cell]

N(E_F)	0.436	states/eV/atom
formation energy	1.517	eV per formula unit

---

Entry 11:
The following is a PBE calculation of TaBe2Pb after structural relaxation, from the Alexandria database.

a b c (Å): 3.604 4.030 4.161
angles (deg): 90.00 90.00 90.00
Space group Pmmm (No. 47)
Symmetry-distinct sites (fractional):
Ta (0.000, 0.000, 0.000) [1 per cell]
Be (0.500, 0.000, 0.500) [1 per cell]
Be (0.500, 0.500, 0.000) [1 per cell]
Pb (0.000, 0.500, 0.500) [1 per cell]

N(E_F)	0.318	states/eV/atom
formation energy	1.993	eV per formula unit

---

Entry 12:
The following is a PBE calculation of Ta3BePb after structural relaxation, from the Alexandria database.

a b c (Å): 4.494 4.494 4.494
angles (deg): 90.00 90.00 90.00
Space group Pm-3m (No. 221)
Symmetry-distinct sites (fractional):
Ta (0.000, 0.000, 0.500) [3 per cell]
Be (0.000, 0.000, 0.000) [1 per cell]
Pb (0.500, 0.500, 0.500) [1 per cell]

N(E_F)	0.877	states/eV/atom
formation energy	2.909	eV per formula unit

---

Entry 13:
The following is a PBE calculation of TaBePb3 after structural relaxation, from the Alexandria database.

a b c (Å): 5.019 5.019 5.019
angles (deg): 90.00 90.00 90.00
Space group Pm-3m (No. 221)
Symmetry-distinct sites (fractional):
Ta (0.000, 0.000, 0.000) [1 per cell]
Be (0.500, 0.500, 0.500) [1 per cell]
Pb (0.000, 0.500, 0.500) [3 per cell]

N(E_F)	0.945	states/eV/atom
formation energy	5.664	eV per formula unit

---

Entry 14:
The following is a PBE calculation of TaBe2Pb after structural relaxation, from the Alexandria database.

a b c (Å): 3.115 4.705 9.090
angles (deg): 90.00 90.00 90.00
Space group Immm (No. 71)
Symmetry-distinct sites (fractional):
Ta (0.000, 0.000, 0.000) [2 per cell]
Be (0.000, 0.500, 0.265) [4 per cell]
Pb (0.000, 0.000, 0.500) [2 per cell]

N(E_F)	0.390	states/eV/atom
formation energy	3.052	eV per formula unit

---

Entry 15:
The following is a PBE calculation of TaBe2Pb after structural relaxation, from the Alexandria database.

a b c (Å): 6.466 6.466 6.466
angles (deg): 90.00 90.00 90.00
Space group F-43m (No. 216)
Symmetry-distinct sites (fractional):
Ta (0.000, 0.000, 0.000) [4 per cell]
Be (0.000, 0.000, 0.500) [4 per cell]
Be (0.250, 0.250, 0.250) [4 per cell]
Pb (0.250, 0.250, 0.750) [4 per cell]

N(E_F)	0.616	states/eV/atom
formation energy	4.470	eV per formula unit

---

Entry 16:
The following is a PBE calculation of Ta2BePb after structural relaxation, from the Alexandria database.

a b c (Å): 5.663 9.084 2.937
angles (deg): 90.00 105.85 90.00
Space group C2/m (No. 12)
Symmetry-distinct sites (fractional):
Ta (0.250, 0.250, 0.000) [4 per cell]
Be (0.000, 0.000, 0.500) [2 per cell]
Pb (0.000, 0.500, 0.500) [2 per cell]

N(E_F)	0.483	states/eV/atom
formation energy	2.347	eV per formula unit

---

Entry 17:
The following is a PBE calculation of TaBe2Pb after structural relaxation, from the Alexandria database.

a b c (Å): 3.0405 3.0405 26.5765
angles (deg): 90.00 90.00 120.00
Space group R-3m (No. 166, hexagonal axes)
Symmetry-distinct sites (fractional):
Ta (0.0000, 0.0000, 0.0000) [3 per cell]
Be (0.0000, 0.0000, 0.2599) [6 per cell]
Pb (0.0000, 0.0000, 0.5000) [3 per cell]

N(E_F)	0.453	states/eV/atom
formation energy	2.745	eV per formula unit

---

Entry 18:
The following is a PBE calculation of Ta3BePb after structural relaxation, from the Alexandria database.

a b c (Å): 5.093 5.093 5.093
angles (deg): 90.00 90.00 90.00
Space group Pm-3m (No. 221)
Symmetry-distinct sites (fractional):
Ta (0.000, 0.000, 0.500) [3 per cell]
Be (0.500, 0.500, 0.500) [1 per cell]
Pb (0.000, 0.000, 0.000) [1 per cell]

N(E_F)	1.666	states/eV/atom
formation energy	13.659	eV per formula unit

---

Entry 19:
The following is a PBE calculation of TaBe3Pb after structural relaxation, from the Alexandria database.

a b c (Å): 4.476 4.476 4.476
angles (deg): 90.00 90.00 90.00
Space group Pm-3m (No. 221)
Symmetry-distinct sites (fractional):
Ta (0.000, 0.000, 0.000) [1 per cell]
Be (0.000, 0.500, 0.500) [3 per cell]
Pb (0.500, 0.500, 0.500) [1 per cell]

N(E_F)	0.705	states/eV/atom
formation energy	9.053	eV per formula unit

---

Entry 20:
The following is a PBE calculation of Ta2BePb after structural relaxation, from the Alexandria database.

a b c (Å): 10.576 2.966 4.794
angles (deg): 90.00 107.48 90.00
Space group Cm (No. 8)
Symmetry-distinct sites (fractional):
Ta (0.000, 0.000, 0.000) [2 per cell]
Ta (0.181, 0.000, 0.619) [2 per cell]
Be (0.212, 0.500, 0.104) [2 per cell]
Pb (0.416, 0.000, 0.438) [2 per cell]

N(E_F)	0.498	states/eV/atom
formation energy	2.221	eV per formula unit